Entry 1:
CaGaAs2 PBE relaxed; formation energy = -573 meV per atom
1.0
5.966 0.000 0.000
0.000 6.435 0.000
-4.456 0.000 10.250
Ca Ga As
4 4 8
direct
0.160 0.248 0.127
0.160 0.752 0.627
0.840 0.248 0.373
0.840 0.752 0.873
0.317 0.397 0.882
0.317 0.603 0.382
0.683 0.397 0.618
0.683 0.603 0.118
0.116 0.229 0.668
0.116 0.771 0.168
0.377 0.224 0.421
0.377 0.776 0.921
0.623 0.224 0.079
0.623 0.776 0.579
0.884 0.229 0.832
0.884 0.771 0.332


Entry 2:
NbTeP2 PBE relaxed; DOS(E_F) = 1.038 states/eV/atom; formation energy from raw total energies = 288 meV per atom
1.0
-3.036 3.036 5.690
3.036 -3.036 5.690
3.036 3.036 -5.690
Nb Te P
2 2 4
direct
0.000 0.000 0.000
0.750 0.250 0.500
0.250 0.750 0.500
0.500 0.500 0.000
0.074 0.625 0.949
0.375 0.324 0.449
0.676 0.125 0.051
0.875 0.926 0.551


Entry 3:
Ti2Al2Pd7 PBE relaxed; DOS(E_F) = 0.743 states/eV/atom; formation energy = -419 meV per atom
1.0
2.655 -4.603 0.000
2.655 4.603 0.000
-0.024 0.000 7.309
Ti Al Pd
2 2 7
direct
0.167 0.833 0.000
0.833 0.167 0.000
0.498 0.498 0.826
0.502 0.502 0.174
0.035 0.035 0.702
0.038 0.502 0.298
0.498 0.962 0.702
0.500 0.500 0.500
0.502 0.038 0.298
0.962 0.498 0.702
0.965 0.965 0.298


Entry 4:
ScPaSn2 PBE relaxed; DOS(E_F) = 1.940 states/eV/atom; formation energy = 22 meV per atom
1.0
1.628 0.940 11.367
-1.628 0.940 11.367
0.000 -1.880 11.367
Sc Pa Sn
1 1 2
direct
0.000 0.000 0.000
0.500 0.500 0.500
0.407 0.407 0.407
0.593 0.593 0.593


Entry 5:
LaBe2PH PBE relaxed; DOS(E_F) = 0.557 states/eV/atom; final energy = -4.0013 eV per atom
1.0
3.866 0.000 0.000
0.000 3.866 0.000
0.000 0.000 5.280
La Be P H
1 2 1 1
direct
0.000 0.000 0.000
0.000 0.500 0.500
0.500 0.000 0.500
0.500 0.500 0.500
0.500 0.500 0.000


Entry 6:
Ce4SbHPb PBE relaxed; DOS(E_F) = 3.139 states/eV/atom; final energy = -5.5542 eV per atom
1.0
3.201 -8.969 0.000
3.201 8.969 0.000
0.000 0.000 6.385
Ce Sb H Pb
8 2 2 2
direct
0.000 0.500 0.000
0.000 0.500 0.500
0.072 0.928 0.750
0.428 0.572 0.750
0.500 0.000 0.000
0.500 0.000 0.500
0.572 0.428 0.250
0.928 0.072 0.250
0.114 0.886 0.250
0.886 0.114 0.750
0.296 0.704 0.750
0.704 0.296 0.250
0.388 0.612 0.250
0.612 0.388 0.750


Entry 7:
NaBSeBr2 PBE relaxed; DOS(E_F) = 0.775 states/eV/atom; formation energy from raw total energies = 949 meV per atom
1.0
5.489 0.000 0.000
0.000 5.489 0.000
0.000 0.000 5.381
Na B Se Br
1 1 1 2
direct
0.000 0.000 0.000
0.500 0.500 0.500
0.000 0.000 0.500
0.000 0.500 0.000
0.500 0.000 0.000


Entry 8:
NdCd PBE relaxed; DOS(E_F) = 1.368 states/eV/atom; formation energy = -318 meV per atom
1.0
3.858 0.000 0.000
0.000 3.858 0.000
0.000 0.000 3.858
Nd Cd
1 1
direct
0.000 0.000 0.000
0.500 0.500 0.500


Entry 9:
Tb4TmRh5 PBE relaxed; DOS(E_F) = 0.683 states/eV/atom; formation energy = -861 meV per atom
1.0
3.454 0.000 0.000
0.000 3.454 0.000
0.000 0.000 16.898
Tb Tm Rh
4 1 5
direct
0.000 0.000 0.101
0.000 0.000 0.302
0.000 0.000 0.698
0.000 0.000 0.899
0.000 0.000 0.500
0.500 0.500 0.000
0.500 0.500 0.201
0.500 0.500 0.403
0.500 0.500 0.597
0.500 0.500 0.799


Total magnetic moment (computed, μB per cell): 0.00, 0.00, 0.00, 0.06, 0.00, 7.96, 2.02, 0.40, 0.00